CePrPd4: optimized geometry, PBE-GGA. Values from VASP.

Cell and atoms, written as Quantum ESPRESSO input:
```
&SYSTEM
  ibrav = 0, nat = 12, ntyp = 3
/
ATOMIC_SPECIES
Pd 106.42 Pd.upf
Ce 140.12 Ce.upf
Pr 140.91 Pr.upf
ATOMIC_POSITIONS crystal
Pd 0.4295 0.7500 0.8591
Pd 0.0000 0.0000 0.0000
Pd 0.8567 0.9914 0.7134
Pd 0.1433 0.0086 0.2866
Pd 0.5705 0.2500 0.1409
Pd 0.1433 0.4914 0.2866
Pd 0.0000 0.5000 0.0000
Pd 0.8567 0.5086 0.7134
Ce 0.4230 0.2500 0.8460
Ce 0.5770 0.7500 0.1540
Pr 0.7227 0.2500 0.4455
Pr 0.2773 0.7500 0.5545
CELL_PARAMETERS angstrom
4.1459 0.0000 -0.8500
0.0000 5.8235 0.0000
-0.0395 0.0000 10.3430
```

Properties
E_tot   -6.013 eV/atom
E above lowest polymorph   0.00 eV per formula unit
ΔE_f   -765 meV per atom
V   249.52 Å³ per cell

BaTl2Si: optimized geometry, PBE-GGA. Values from VASP.

Cell and atoms, written as Quantum ESPRESSO input:
```
&SYSTEM
  ibrav = 0, nat = 4, ntyp = 3
/
ATOMIC_SPECIES
Si 28.09 Si.upf
Tl 204.38 Tl.upf
Ba 137.33 Ba.upf
ATOMIC_POSITIONS crystal
Si 0.5000 0.7500 0.7500
Tl 0.0000 0.9413 0.9416
Tl 0.0000 0.5587 0.5584
Ba 0.5000 0.2500 0.2500
CELL_PARAMETERS angstrom
-1.0231 1.5786 4.2524
2.0278 -4.5593 2.1804
5.2672 1.0466 0.8787
```

Properties
E_form (uncorrected)   -0.11 eV per atom
E_tot   -3.132 eV/atom
E above lowest polymorph   0.01 eV per formula unit
V   132.89 Å³ per cell